No. 1
A geometry-optimized Zr2Ta4Tl3N3 structure. Source: OQMD via LeMat-Bulk, functional PBE.

a = 5.650 Å, b = 5.650 Å, c = 14.679 Å
α = 78.93°, β = 78.93°, γ = 60.15°
Sites, in units of the cell vectors:
N (0.169, 0.666, 0.500)
N (0.500, 0.000, 0.500)
N (0.831, 0.334, 0.500)
Ta (0.192, 0.026, 0.424)
Zr (0.364, 0.529, 0.911)
Tl (0.936, 0.064, 0.250)
Ta (0.141, 0.308, 0.576)
Zr (0.471, 0.636, 0.589)
N (0.000, 0.500, 0.000)
Ta (0.692, 0.859, 0.924)
Ta (0.974, 0.808, 0.076)
Tl (0.228, 0.418, 0.250)
Ta (0.026, 0.192, 0.924)
Tl (0.772, 0.582, 0.750)
Tl (0.418, 0.228, 0.750)
N (0.666, 0.169, 0.000)
Zr (0.636, 0.471, 0.089)
Ta (0.859, 0.692, 0.424)
N (0.334, 0.831, 0.000)
Tl (0.582, 0.772, 0.250)
Ta (0.808, 0.974, 0.576)
Tl (0.064, 0.936, 0.750)
Zr (0.529, 0.364, 0.411)
Ta (0.308, 0.141, 0.076)

Results
total DFT energy (no corrections)	-8.55	eV per atom
V	396	Å³ per cell

---

No. 2
A geometry-optimized Zr4Ta2Tl3N3 structure. Source: OQMD via LeMat-Bulk, functional PBE.

a = 5.683 Å, b = 5.683 Å, c = 15.061 Å
α = 101.01°, β = 101.01°, γ = 60.05°
Sites, in units of the cell vectors:
N (0.663, 0.175, 0.000)
Tl (0.417, 0.264, 0.251)
Ta (0.475, 0.645, 0.424)
Ta (0.525, 0.355, 0.576)
N (0.337, 0.825, 0.000)
Ta (0.645, 0.475, 0.924)
N (0.825, 0.337, 0.500)
Zr (0.866, 0.695, 0.585)
Tl (0.903, 0.097, 0.750)
N (0.175, 0.663, 0.500)
Zr (0.968, 0.808, 0.915)
Ta (0.355, 0.525, 0.076)
Zr (0.808, 0.968, 0.415)
N (0.000, 0.500, 0.000)
Tl (0.264, 0.417, 0.751)
Tl (0.736, 0.583, 0.249)
Zr (0.192, 0.032, 0.585)
Zr (0.032, 0.192, 0.085)
Zr (0.695, 0.866, 0.085)
Zr (0.134, 0.305, 0.415)
Zr (0.305, 0.134, 0.915)
Tl (0.097, 0.903, 0.250)
Tl (0.583, 0.736, 0.749)
N (0.500, 0.000, 0.500)

Results
total DFT energy (no corrections)	-8.24	eV per atom
V	411	Å³ per cell

---

No. 3
A geometry-optimized Y2TaWN6 structure. Source: OQMD via LeMat-Bulk, functional PBE.

a = 5.469 Å, b = 5.684 Å, c = 9.553 Å
α = 90.00°, β = 124.88°, γ = 90.00°
Sites, in units of the cell vectors:
N (0.645, 0.705, 0.948)
N (0.746, 0.301, 0.450)
Y (0.262, 0.060, 0.249)
Y (0.738, 0.560, 0.251)
N (0.254, 0.801, 0.050)
N (0.355, 0.205, 0.552)
N (0.156, 0.027, 0.753)
W (0.500, 0.000, 0.000)
N (0.254, 0.699, 0.550)
N (0.156, 0.473, 0.253)
N (0.746, 0.199, 0.950)
N (0.645, 0.795, 0.448)
N (0.355, 0.295, 0.052)
N (0.844, 0.527, 0.747)
Ta (0.000, 0.500, 0.000)
W (0.500, 0.500, 0.500)
N (0.844, 0.973, 0.247)
Ta (0.000, 0.000, 0.500)
Y (0.262, 0.440, 0.749)
Y (0.738, 0.940, 0.751)

Results
total DFT energy (no corrections)	-9.76	eV per atom
V	244	Å³ per cell

---

No. 4
A geometry-optimized Ta4Zn3W2N3 structure. Source: OQMD via LeMat-Bulk, functional PBE.

a = 5.087 Å, b = 5.087 Å, c = 14.780 Å
α = 99.94°, β = 99.94°, γ = 60.04°
Sites, in units of the cell vectors:
Zn (0.418, 0.266, 0.250)
W (0.634, 0.469, 0.906)
N (0.332, 0.836, 0.000)
N (0.668, 0.164, 0.000)
N (0.000, 0.500, 0.000)
N (0.164, 0.668, 0.500)
Ta (0.968, 0.801, 0.904)
Ta (0.865, 0.699, 0.596)
Ta (0.032, 0.199, 0.096)
N (0.836, 0.332, 0.500)
N (0.500, 0.000, 0.500)
Zn (0.582, 0.734, 0.750)
Ta (0.301, 0.135, 0.904)
W (0.531, 0.366, 0.594)
Ta (0.801, 0.968, 0.404)
Ta (0.135, 0.301, 0.404)
Zn (0.102, 0.898, 0.250)
Zn (0.266, 0.418, 0.750)
Zn (0.898, 0.102, 0.750)
Zn (0.734, 0.582, 0.250)
Ta (0.699, 0.865, 0.096)
Ta (0.199, 0.032, 0.596)
W (0.469, 0.634, 0.406)
W (0.366, 0.531, 0.094)

Results
total DFT energy (no corrections)	-8.82	eV per atom
V	325	Å³ per cell

---

No. 5
A geometry-optimized Zr3Ta3W2N12 structure. Source: OQMD via LeMat-Bulk, functional PBE.

a = 10.835 Å, b = 10.835 Å, c = 10.835 Å
α = 109.47°, β = 109.47°, γ = 109.47°
Sites, in units of the cell vectors:
N (0.122, 0.586, 0.910)
N (0.788, 0.410, 0.824)
N (0.590, 0.914, 0.378)
Zr (0.875, 0.750, 0.625)
Zr (0.375, 0.125, 0.250)
N (0.586, 0.176, 0.464)
N (0.176, 0.464, 0.586)
W (0.500, 0.000, 0.500)
Ta (0.375, 0.625, 0.750)
W (0.000, 0.000, 0.000)
N (0.324, 0.914, 0.036)
N (0.288, 0.324, 0.910)
N (0.590, 0.176, 0.212)
N (0.086, 0.964, 0.676)
N (0.878, 0.414, 0.090)
N (0.586, 0.910, 0.122)
N (0.288, 0.464, 0.378)
N (0.212, 0.590, 0.176)
N (0.910, 0.288, 0.324)
N (0.324, 0.910, 0.288)
W (0.000, 0.500, 0.500)
N (0.676, 0.086, 0.964)
Ta (0.875, 0.250, 0.125)
N (0.176, 0.212, 0.590)
Zr (0.125, 0.375, 0.750)
W (0.000, 0.000, 0.500)
Ta (0.375, 0.250, 0.625)
Ta (0.250, 0.625, 0.375)
N (0.464, 0.586, 0.176)
N (0.410, 0.824, 0.788)
Zr (0.250, 0.875, 0.625)
N (0.090, 0.712, 0.676)
N (0.036, 0.212, 0.122)
Zr (0.750, 0.125, 0.375)
N (0.914, 0.378, 0.590)
W (0.500, 0.000, 0.000)
N (0.964, 0.676, 0.086)
W (0.500, 0.500, 0.000)
N (0.824, 0.536, 0.414)
Ta (0.750, 0.375, 0.625)
N (0.536, 0.414, 0.824)
N (0.536, 0.622, 0.712)
Ta (0.250, 0.125, 0.875)
N (0.378, 0.590, 0.914)
N (0.878, 0.964, 0.788)
Zr (0.625, 0.875, 0.750)
Ta (0.750, 0.875, 0.125)
N (0.788, 0.878, 0.964)
N (0.086, 0.622, 0.410)
N (0.622, 0.712, 0.536)
Zr (0.375, 0.750, 0.125)
N (0.090, 0.878, 0.414)
N (0.212, 0.122, 0.036)
N (0.824, 0.788, 0.410)
Ta (0.625, 0.375, 0.250)
W (0.500, 0.500, 0.500)
N (0.712, 0.676, 0.090)
N (0.410, 0.086, 0.622)
Ta (0.125, 0.875, 0.250)
W (0.000, 0.500, 0.000)
N (0.914, 0.036, 0.324)
N (0.622, 0.410, 0.086)
N (0.910, 0.122, 0.586)
N (0.964, 0.788, 0.878)
Zr (0.250, 0.375, 0.125)
Zr (0.125, 0.250, 0.375)
N (0.414, 0.824, 0.536)
N (0.712, 0.536, 0.622)
N (0.122, 0.036, 0.212)
N (0.676, 0.090, 0.712)
N (0.378, 0.288, 0.464)
Zr (0.625, 0.250, 0.875)
Zr (0.750, 0.625, 0.875)
Ta (0.875, 0.125, 0.750)
N (0.414, 0.090, 0.878)
N (0.464, 0.378, 0.288)
Ta (0.625, 0.750, 0.375)
N (0.036, 0.324, 0.914)
Zr (0.875, 0.625, 0.250)
Ta (0.125, 0.750, 0.875)

Results
total DFT energy (no corrections)	-10.16	eV per atom
V	979	Å³ per cell

---

No. 6
A geometry-optimized YTa2N4 structure. Source: OQMD via LeMat-Bulk, functional PBE.

a = 5.325 Å, b = 5.325 Å, c = 10.349 Å
α = 90.00°, β = 90.00°, γ = 145.92°
Sites, in units of the cell vectors:
Ta (0.371, 0.629, 0.432)
N (0.000, 0.000, 0.000)
N (0.732, 0.268, 0.388)
Ta (0.629, 0.371, 0.932)
Ta (0.629, 0.371, 0.568)
N (0.268, 0.732, 0.888)
Y (0.883, 0.117, 0.750)
N (0.443, 0.557, 0.250)
N (0.268, 0.732, 0.612)
N (0.557, 0.443, 0.750)
N (0.732, 0.268, 0.112)
Y (0.117, 0.883, 0.250)
Ta (0.371, 0.629, 0.068)
N (0.000, 0.000, 0.500)

Results
total DFT energy (no corrections)	-10.40	eV per atom
V	164	Å³ per cell

---

No. 7
A geometry-optimized Y2Ta4Zn3N3 structure. Source: OQMD via LeMat-Bulk, functional PBE.

a = 5.537 Å, b = 5.545 Å, c = 14.084 Å
α = 89.77°, β = 78.66°, γ = 60.05°
Sites, in units of the cell vectors:
Y (0.423, 0.199, 0.117)
N (0.833, 0.333, 0.500)
N (0.834, 0.833, 0.000)
Y (0.239, 0.301, 0.383)
N (0.500, 0.500, 0.000)
N (0.500, 0.000, 0.500)
Zn (0.665, 0.236, 0.749)
Zn (0.149, 0.264, 0.751)
Zn (0.821, 0.250, 0.250)
Ta (0.562, 0.641, 0.420)
Ta (0.228, 0.465, 0.920)
Zn (0.851, 0.736, 0.249)
Ta (0.877, 0.141, 0.920)
Ta (0.123, 0.859, 0.080)
Ta (0.772, 0.535, 0.080)
N (0.166, 0.167, 0.000)
N (0.167, 0.667, 0.500)
Y (0.761, 0.699, 0.617)
Zn (0.179, 0.750, 0.750)
Ta (0.438, 0.359, 0.580)
Ta (0.113, 0.035, 0.580)
Zn (0.335, 0.764, 0.251)
Y (0.577, 0.801, 0.883)
Ta (0.887, 0.965, 0.420)

Results
total DFT energy (no corrections)	-8.20	eV per atom
V	365	Å³ per cell

---

No. 8
A geometry-optimized Ta3ZnN2 structure. Source: OQMD via LeMat-Bulk, functional PBE.

a = 3.081 Å, b = 3.081 Å, c = 18.915 Å
α = 90.00°, β = 90.00°, γ = 120.00°
Sites, in units of the cell vectors:
Ta (0.333, 0.667, 0.634)
Ta (0.000, 0.000, 0.500)
Ta (0.667, 0.333, 0.134)
N (0.667, 0.333, 0.567)
N (0.333, 0.667, 0.067)
Zn (0.000, 0.000, 0.750)
Ta (0.333, 0.667, 0.866)
Zn (0.000, 0.000, 0.250)
Ta (0.667, 0.333, 0.366)
N (0.333, 0.667, 0.433)
N (0.667, 0.333, 0.933)
Ta (0.000, 0.000, 0.000)

Results
total DFT energy (no corrections)	-9.52	eV per atom
V	156	Å³ per cell

---

No. 9
A geometry-optimized Zr2Ta4Zn3N3 structure. Source: OQMD via LeMat-Bulk, functional PBE.

a = 5.428 Å, b = 5.428 Å, c = 14.009 Å
α = 101.27°, β = 101.27°, γ = 60.01°
Sites, in units of the cell vectors:
Zr (0.375, 0.538, 0.614)
N (0.341, 0.820, 0.500)
Ta (0.855, 0.693, 0.081)
Zn (0.891, 0.585, 0.751)
Ta (0.693, 0.855, 0.581)
N (0.659, 0.180, 0.500)
Ta (0.801, 0.980, 0.919)
Ta (0.307, 0.145, 0.419)
N (0.500, 0.000, 0.000)
Zr (0.538, 0.375, 0.114)
Zn (0.109, 0.415, 0.249)
Zn (0.415, 0.109, 0.749)
Zr (0.625, 0.462, 0.386)
Zn (0.941, 0.059, 0.750)
N (0.000, 0.500, 0.500)
N (0.180, 0.659, 0.000)
Zr (0.462, 0.625, 0.886)
Ta (0.199, 0.020, 0.081)
N (0.820, 0.341, 0.000)
Ta (0.980, 0.801, 0.419)
Ta (0.145, 0.307, 0.919)
Zn (0.059, 0.941, 0.250)
Ta (0.020, 0.199, 0.581)
Zn (0.585, 0.891, 0.251)

Results
total DFT energy (no corrections)	-8.50	eV per atom
V	348	Å³ per cell

---

No. 10
A geometry-optimized Zr4Ta2Zn3N3 structure. Source: OQMD via LeMat-Bulk, functional PBE.

a = 5.581 Å, b = 5.581 Å, c = 14.073 Å
α = 78.65°, β = 78.65°, γ = 60.01°
Sites, in units of the cell vectors:
Zn (0.694, 0.583, 0.751)
Zr (0.870, 0.699, 0.402)
N (0.000, 0.500, 0.000)
Zr (0.806, 0.963, 0.597)
Zn (0.583, 0.694, 0.251)
Zr (0.699, 0.870, 0.902)
Zr (0.301, 0.130, 0.098)
Ta (0.354, 0.526, 0.922)
Ta (0.646, 0.474, 0.078)
N (0.334, 0.833, 0.000)
Zn (0.138, 0.862, 0.750)
N (0.500, 0.000, 0.500)
Zn (0.306, 0.417, 0.249)
Zr (0.037, 0.194, 0.903)
Zn (0.417, 0.306, 0.749)
N (0.167, 0.666, 0.500)
Zn (0.862, 0.138, 0.250)
Zr (0.130, 0.301, 0.598)
Zr (0.194, 0.037, 0.403)
Ta (0.474, 0.646, 0.578)
Zr (0.963, 0.806, 0.097)
N (0.666, 0.167, 0.000)
Ta (0.526, 0.354, 0.422)
N (0.833, 0.334, 0.500)

Results
total DFT energy (no corrections)	-8.07	eV per atom
V	370	Å³ per cell

---

No. 11
A geometry-optimized ZrTa2N3 structure. Source: OQMD via LeMat-Bulk, functional PBE.

a = 5.250 Å, b = 5.250 Å, c = 2.987 Å
α = 90.00°, β = 90.00°, γ = 120.00°
Sites, in units of the cell vectors:
N (0.500, 0.500, 0.000)
Ta (0.667, 0.333, 0.500)
Zr (0.000, 0.000, 0.000)
Ta (0.333, 0.667, 0.500)
N (0.000, 0.500, 0.000)
N (0.500, 0.000, 0.000)

Results
total DFT energy (no corrections)	-10.55	eV per atom
V	71	Å³ per cell

---

No. 12
A geometry-optimized Zr2TaN3 structure. Source: OQMD via LeMat-Bulk, functional PBE.

a = 5.366 Å, b = 5.366 Å, c = 3.084 Å
α = 90.00°, β = 90.00°, γ = 120.00°
Sites, in units of the cell vectors:
Ta (0.000, 0.000, 0.000)
Zr (0.333, 0.667, 0.500)
Zr (0.667, 0.333, 0.500)
N (0.000, 0.500, 0.000)
N (0.500, 0.500, 0.000)
N (0.500, 0.000, 0.000)

Results
total DFT energy (no corrections)	-9.87	eV per atom
V	77	Å³ per cell

---

No. 13
A geometry-optimized TbN structure. Source: OQMD via LeMat-Bulk, functional PBE.

a = 3.356 Å, b = 3.355 Å, c = 3.058 Å
α = 90.00°, β = 90.00°, γ = 120.00°
Sites, in units of the cell vectors:
N (0.667, 0.333, 0.750)
Tb (0.333, 0.667, 0.250)

Results
total DFT energy (no corrections)	-7.70	eV per atom
V	30	Å³ per cell

---

No. 14
A geometry-optimized TbN2 structure. Source: OQMD via LeMat-Bulk, functional PBE.

a = 5.211 Å, b = 5.211 Å, c = 3.793 Å
α = 90.00°, β = 90.00°, γ = 90.00°
Sites, in units of the cell vectors:
N (0.686, 0.686, 0.000)
N (0.314, 0.314, 0.000)
Tb (0.000, 0.000, 0.000)
N (0.186, 0.814, 0.500)
N (0.814, 0.186, 0.500)
Tb (0.500, 0.500, 0.500)

Results
total DFT energy (no corrections)	-6.56	eV per atom
V	103	Å³ per cell

---

No. 15
A geometry-optimized TbN2 structure. Source: OQMD via LeMat-Bulk, functional PBE.

a = 4.549 Å, b = 4.549 Å, c = 4.549 Å
α = 60.00°, β = 60.00°, γ = 60.00°
Sites, in units of the cell vectors:
N (0.125, 0.625, 0.625)
N (0.625, 0.625, 0.625)
Tb (0.000, 0.000, 0.000)
N (0.625, 0.125, 0.625)
N (0.625, 0.625, 0.125)
Tb (0.250, 0.250, 0.250)

Results
total DFT energy (no corrections)	-5.95	eV per atom
V	67	Å³ per cell

---

No. 16
A geometry-optimized TbN structure. Source: OQMD via LeMat-Bulk, functional PBE.

a = 2.999 Å, b = 2.999 Å, c = 2.999 Å
α = 90.00°, β = 90.00°, γ = 90.00°
Sites, in units of the cell vectors:
N (0.500, 0.500, 0.500)
Tb (0.000, 0.000, 0.000)

Results
total DFT energy (no corrections)	-7.24	eV per atom
V	27	Å³ per cell